(1)
A plane-wave DFT calculation with GGA-PBE was carried out for a relaxed structure of ScCd2Hg.

Values from the calculation:
* space group: P4/mmm, No. 123
* calculated total energy: -2.238 eV/atom

Lattice parameters (Å, degrees): 3.679 3.687 6.640 90.00 90.00 90.00
Fractional coordinates of all 4 atoms:
Cd  0.000  0.000  0.997
Cd  0.000  0.000  0.503
Hg  0.500  0.500  0.250
Sc  0.500  0.500  0.750

(2)
A plane-wave DFT calculation with GGA-PBE was carried out for a relaxed structure of KFe2HgBr8.

Values from the calculation:
* ΔE_f (raw): -0.672 eV/atom
* space group: C2/m, No. 12

Lattice parameters (Å, degrees): 6.911 6.911 9.865 85.03 85.03 70.34
Fractional coordinates of all 12 atoms:
K  0.000  0.000  0.500
Fe  0.619  0.619  0.229
Fe  0.381  0.381  0.771
Hg  0.000  0.000  0.000
Br  0.748  0.264  0.776
Br  0.749  0.749  0.023
Br  0.710  0.710  0.432
Br  0.290  0.290  0.568
Br  0.251  0.251  0.977
Br  0.264  0.748  0.776
Br  0.736  0.252  0.224
Br  0.252  0.736  0.224

(3)
A plane-wave DFT calculation with GGA-PBE was carried out for a relaxed structure of ZrAlRe2.

Values from the calculation:
* space group: R-3m, No. 166
* calculated total energy: -9.136 eV/atom

Lattice parameters (Å, degrees): 9.551 9.551 9.551 17.10 17.10 17.10
Fractional coordinates of all 4 atoms:
Re  0.993  0.993  0.993
Re  0.507  0.507  0.507
Al  0.250  0.250  0.250
Zr  0.750  0.750  0.750

(4)
A plane-wave DFT calculation with GGA-PBE was carried out for a relaxed structure of ScAl3Tc.

Values from the calculation:
* ΔE to the lowest computed polymorph: 2.37 eV per formula unit
* space group: Pm-3m, No. 221

Lattice parameters (Å, degrees): 4.673 4.673 4.673 90.00 90.00 90.00
Fractional coordinates of all 5 atoms:
Sc  0.500  0.500  0.500
Tc  0.000  0.000  0.000
Al  0.000  0.500  0.000
Al  0.000  0.000  0.500
Al  0.500  0.000  0.000

(5)
A plane-wave DFT calculation with GGA-PBE was carried out for a relaxed structure of K2AlRh.

Values from the calculation:
* space group: C2/m, No. 12
* calculated total energy: -3.430 eV/atom

Lattice parameters (Å, degrees): 10.371 10.371 3.885 79.35 79.35 17.61
Fractional coordinates of all 4 atoms:
K  0.102  0.102  0.897
K  0.398  0.398  0.603
Rh  0.750  0.750  0.750
Al  0.250  0.250  0.250

(6)
A plane-wave DFT calculation with GGA-PBE was carried out for a relaxed structure of LaTb5SmY2.

Values from the calculation:
* space group: I4/mcm, No. 140
* calculated total energy: -4.793 eV/atom

Lattice parameters (Å, degrees): 8.887 8.887 9.866 116.77 116.77 90.00
Fractional coordinates of all 18 atoms:
La  0.250  0.250  0.500
La  0.750  0.750  0.500
Tb  0.930  0.430  0.269
Tb  0.661  0.161  0.731
Tb  0.070  0.570  0.731
Tb  0.161  0.070  0.731
Tb  0.570  0.661  0.731
Tb  0.839  0.930  0.269
Tb  0.430  0.339  0.269
Tb  0.339  0.839  0.269
Tb  0.500  0.500  0.000
Tb  0.000  0.000  0.000
Sm  0.250  0.750  0.500
Sm  0.750  0.250  0.500
Y  0.116  0.384  0.000
Y  0.616  0.116  0.000
Y  0.384  0.884  0.000
Y  0.884  0.616  0.000

(7)
A plane-wave DFT calculation with GGA-PBE was carried out for a relaxed structure of Hf8MoRh2.

Values from the calculation:
* space group: C2/m, No. 12
* calculated total energy: -9.849 eV/atom

Lattice parameters (Å, degrees): 4.684 6.354 8.180 104.83 106.64 90.00
Fractional coordinates of all 11 atoms:
Hf  0.410  0.541  0.819
Hf  0.668  0.959  0.337
Hf  0.809  0.697  0.618
Hf  0.975  0.237  0.950
Hf  0.191  0.303  0.382
Hf  0.332  0.041  0.663
Hf  0.590  0.459  0.181
Hf  0.025  0.763  0.050
Mo  0.500  0.000  0.000
Rh  0.807  0.291  0.614
Rh  0.193  0.709  0.386

(8)
A plane-wave DFT calculation with GGA-PBE was carried out for a relaxed structure of K5Tl2Hg5.

Values from the calculation:
* space group: C2/m, No. 12
* calculated total energy: -1.159 eV/atom

Lattice parameters (Å, degrees): 5.423 9.505 9.647 93.41 73.68 73.43
Fractional coordinates of all 12 atoms:
K  0.000  0.500  0.500
K  0.668  0.752  0.913
K  0.382  0.904  0.332
K  0.618  0.096  0.668
K  0.332  0.248  0.087
Tl  0.344  0.498  0.813
Tl  0.656  0.502  0.187
Hg  0.744  0.194  0.317
Hg  0.902  0.332  0.863
Hg  0.098  0.668  0.137
Hg  0.256  0.806  0.683
Hg  0.000  0.000  0.000